# LiPr3Nd4Te8 | Alexandria | PBE | optimized geometry
data_LiPr3Nd4Te8
_cell_length_a 8.9896
_cell_length_b 8.9896
_cell_length_c 22.0118
_cell_angle_alpha 90.00
_cell_angle_beta 90.00
_cell_angle_gamma 120.00
_symmetry_space_group_name_H-M 'R -3 m'
_symmetry_Int_Tables_number 166
_symmetry_space_group_name_Hall '-R 3 2"'
loop_
_atom_site_label
_atom_site_type_symbol
_atom_site_fract_x
_atom_site_fract_y
_atom_site_fract_z
Li1 Li 0.0000 0.0000 0.0000
Pr1 Pr 0.0000 0.5000 0.0000
Nd1 Nd 0.0000 0.0000 0.5000
Nd2 Nd 0.0000 0.5000 0.5000
Te1 Te 0.0000 0.0000 0.2492
Te2 Te 0.0103 0.5052 0.7482
# Total magnetization   0.000 μB/atom
# Raw total energy   -5.184 eV/atom
# N(E_F)   24.84 states/eV per cell

=====

# LiPr3Nd3Te8 | Alexandria | PBE | optimized geometry
data_LiPr3Nd3Te8
_cell_length_a 8.9830
_cell_length_b 8.9830
_cell_length_c 22.0204
_cell_angle_alpha 90.00
_cell_angle_beta 90.00
_cell_angle_gamma 120.00
_symmetry_space_group_name_H-M 'R -3 m'
_symmetry_Int_Tables_number 166
_symmetry_space_group_name_Hall '-R 3 2"'
loop_
_atom_site_label
_atom_site_type_symbol
_atom_site_fract_x
_atom_site_fract_y
_atom_site_fract_z
Li1 Li 0.0000 0.0000 0.0000
Pr1 Pr 0.0000 0.5000 0.5000
Nd1 Nd 0.0000 0.5000 0.0000
Te1 Te 0.0000 0.0000 0.2508
Te2 Te 0.0039 0.5019 0.7483
# Total magnetization   0.000 μB/atom
# Raw total energy   -5.115 eV/atom
# N(E_F)   13.10 states/eV per cell

=====

# LiPrNdTh | Alexandria | PBE | optimized geometry
data_LiPrNdTh
_cell_length_a 7.9595
_cell_length_b 7.9595
_cell_length_c 7.9595
_cell_angle_alpha 90.00
_cell_angle_beta 90.00
_cell_angle_gamma 90.00
_symmetry_space_group_name_H-M 'F -4 3 m'
_symmetry_Int_Tables_number 216
_symmetry_space_group_name_Hall 'F -4 2 3'
loop_
_atom_site_label
_atom_site_type_symbol
_atom_site_fract_x
_atom_site_fract_y
_atom_site_fract_z
Li1 Li 0.0000 0.0000 0.0000
Pr1 Pr 0.2500 0.2500 0.7500
Nd1 Nd 0.2500 0.2500 0.2500
Th1 Th 0.0000 0.0000 0.5000
# Total magnetization   0.009 μB/atom
# Raw total energy   -4.454 eV/atom
# Formation enthalpy at 0 K   0.266 eV per atom
# N(E_F)   28.61 states/eV per cell

=====

# Li2PrNdTl4 | Alexandria | PBE | optimized geometry
data_Li2PrNdTl4
_cell_length_a 5.3092
_cell_length_b 5.3092
_cell_length_c 25.8918
_cell_angle_alpha 90.00
_cell_angle_beta 90.00
_cell_angle_gamma 120.00
_symmetry_space_group_name_H-M 'R -3 m'
_symmetry_Int_Tables_number 166
_symmetry_space_group_name_Hall '-R 3 2"'
loop_
_atom_site_label
_atom_site_type_symbol
_atom_site_fract_x
_atom_site_fract_y
_atom_site_fract_z
Li1 Li 0.0000 0.0000 0.2499
Pr1 Pr 0.0000 0.0000 0.0000
Nd1 Nd 0.0000 0.0000 0.5000
Tl1 Tl 0.0000 0.0000 0.1259
Tl2 Tl 0.0000 0.0000 0.3751
# Total magnetization   0.000 μB/atom
# Raw total energy   -3.193 eV/atom
# Formation enthalpy at 0 K   -0.338 eV per atom
# N(E_F)   4.48 states/eV per cell